# Ac12Ge6C | Alexandria | PBE-GGA | optimized geometry
# magnetic moment = 0.306 μB/f.u.
# final energy = -4.93 eV per atom
# formation energy = -0.388 eV per atom
data_Ac12Ge6C
_chemical_formula_sum 'Ac36 Ge18 C3'
_cell_length_a 13.5590
_cell_length_b 13.5590
_cell_length_c 13.0318
_cell_angle_alpha 90.00
_cell_angle_beta 90.00
_cell_angle_gamma 120.00
_space_group_name_H-M_alt 'R -3'
_space_group_IT_number 148
_space_group_name_Hall '-R 3'
loop_
_atom_site_label
_atom_site_fract_x
_atom_site_fract_y
_atom_site_fract_z
_atom_site_occupancy
Ac1 0.0334 0.2071 0.3933 1
Ac2 0.0533 0.1917 0.8820 1
Ge1 0.0514 0.4384 0.3149 1
C1 0.0000 0.0000 0.0000 1